Computed, not measured: crystalline BaCaPr at its relaxed geometry at the PBE level of DFT.

Summary:
* total magnetic moment: 0.00 μB/cell
* energy relative to the lowest polymorph listed for this composition: 0.28 eV per formula unit
* symmetry: I4mm, No. 107

Cell: 8.981 8.981 8.981 Å, 154.47 154.47 36.41°
Positions (direct):
Ba1 0.000 0.000 0.000
Ca1 0.316 0.316 0.000
Pr1 0.668 0.668 0.000

Computed, not measured: crystalline Nd3Ga2Co2 at its relaxed geometry at the PBE level of DFT.

Summary:
* total magnetic moment: 0.68 μB/cell
* symmetry: Immm, No. 71
* raw total energy: -37.15 eV/cell

Cell: 9.287 9.287 9.287 Å, 154.06 152.98 37.80°
Positions (direct):
Nd1 0.000 0.000 0.000
Nd2 0.323 0.823 0.500
Nd3 0.677 0.177 0.500
Ga1 0.133 0.633 0.500
Ga2 0.867 0.367 0.500
Co1 0.436 0.436 0.000
Co2 0.564 0.564 0.000

Computed, not measured: crystalline La6RuPtAu2 at its relaxed geometry at the PBE level of DFT.

Summary:
* total magnetic moment: 0.00 μB/cell
* symmetry: P2_1/c, No. 14
* raw total energy: -115.96 eV/cell

Cell: 7.183 7.937 12.909 Å, 90.00 122.51 90.00°
Positions (direct):
La1 0.100 0.039 0.245
La2 0.100 0.461 0.745
La3 0.239 0.688 0.073
La4 0.239 0.812 0.573
La5 0.384 0.179 0.068
La6 0.384 0.321 0.568
La7 0.616 0.679 0.432
La8 0.616 0.821 0.932
La9 0.761 0.188 0.427
La10 0.761 0.312 0.927
La11 0.900 0.539 0.255
La12 0.900 0.961 0.755
Ru1 0.000 0.000 0.000
Ru2 0.000 0.500 0.500
Pt1 0.500 0.000 0.500
Pt2 0.500 0.500 0.000
Au1 0.307 0.109 0.756
Au2 0.307 0.391 0.256
Au3 0.693 0.609 0.744
Au4 0.693 0.891 0.244

Number 1: DOS(E_F) 5.34 states/eV/cell. Number 2: DOS(E_F) 5.11 states/eV/cell. Number 3: DOS(E_F) 18.57 states/eV/cell.